[1]
A relaxed LaCu2W crystal, computed with PBE.

Cell and atoms, written as POSCAR:
```
LaCu2W
1.0
2.929 -4.046 0.000
2.929 4.046 0.000
-0.009 0.000 2.910
La Cu W
1 2 1
Direct
0.000 0.000 0.000 La
0.000 0.500 0.500 Cu
0.500 0.000 0.500 Cu
0.500 0.500 0.000 W
```

Properties
For the formation energy, the calculation gives 483 meV/atom. The symmetry is No. 12. The calculation puts the energy relative to the lowest polymorph listed for this composition at 123 meV per atom. Its calculated density is 10829 kg/m3.



[2]
A relaxed CeZn3Ag2 crystal, computed with PBE.

Cell and atoms, written as POSCAR:
```
CeZn3Ag2
1.0
4.889 -4.279 0.000
4.889 4.279 0.000
0.000 0.000 5.641
Ce Zn Ag
2 6 4
Direct
0.174 0.826 0.750 Ce
0.826 0.174 0.250 Ce
0.065 0.624 0.250 Zn
0.376 0.935 0.250 Zn
0.455 0.545 0.250 Zn
0.545 0.455 0.750 Zn
0.624 0.065 0.750 Zn
0.935 0.376 0.750 Zn
0.272 0.272 0.000 Ag
0.272 0.272 0.500 Ag
0.728 0.728 0.000 Ag
0.728 0.728 0.500 Ag
```

Properties
For the formation energy, the calculation gives -127 meV/atom. The symmetry is No. 63. Its calculated density is 7769 kg/m3.



[3]
A relaxed Re2TcCl crystal, computed with PBE.

Cell and atoms, written as POSCAR:
```
Re2TcCl
1.0
2.855 0.000 0.000
0.000 2.855 0.000
0.000 0.000 7.322
Re Tc Cl
2 1 1
Direct
0.000 0.000 0.246 Re
0.000 0.000 0.754 Re
0.500 0.500 0.000 Tc
0.500 0.500 0.500 Cl
```

Properties
The symmetry is No. 123. The calculation puts the energy relative to the lowest polymorph listed for this composition at 313 meV per atom. The formation energy without anion corrections comes out at 642 meV per atom. Its calculated density is 14075 kg/m3.



[4]
A relaxed Rb3CuC crystal, computed with PBE.

Cell and atoms, written as POSCAR:
```
Rb3CuC
1.0
5.876 0.000 0.000
0.000 5.876 0.000
0.000 0.000 5.876
Rb Cu C
3 1 1
Direct
0.000 0.000 0.500 Rb
0.000 0.500 0.000 Rb
0.500 0.000 0.000 Rb
0.500 0.500 0.500 Cu
0.000 0.000 0.000 C
```

Properties
For the formation energy, the calculation gives 1172 meV/atom. The symmetry is No. 221. The calculation puts the energy relative to the lowest polymorph listed for this composition at 0 meV per atom. Its calculated density is 2717 kg/m3.



[5]
A relaxed ZrScTe2 crystal, computed with PBE.

Cell and atoms, written as POSCAR:
```
ZrScTe2
1.0
1.934 1.117 9.331
-1.934 1.117 9.331
0.000 -2.233 9.331
Zr Sc Te
1 1 2
Direct
0.000 0.000 0.000 Zr
0.500 0.500 0.500 Sc
0.102 0.102 0.102 Te
0.898 0.898 0.898 Te
```

Properties
The symmetry is No. 166. The calculation puts the energy relative to the lowest polymorph listed for this composition at 586 meV per atom. The formation energy without anion corrections comes out at -419 meV per atom. Its calculated density is 5376 kg/m3.



[6]
A relaxed HfCuSbTe2 crystal, computed with PBE.

Cell and atoms, written as POSCAR:
```
HfCuSbTe2
1.0
5.099 0.000 0.000
0.000 5.099 0.000
0.000 0.000 4.989
Hf Cu Sb Te
1 1 1 2
Direct
0.000 0.000 0.000 Hf
0.500 0.500 0.500 Cu
0.500 0.500 0.000 Sb
0.000 0.500 0.500 Te
0.500 0.000 0.500 Te
```

Properties
The symmetry is No. 123. The calculation puts the energy relative to the lowest polymorph listed for this composition at 74 meV per atom. The formation energy without anion corrections comes out at 511 meV per atom. Its calculated density is 7924 kg/m3.



Values for DFT total energy, eV per atom, ordered as above
-6.035, -2.703, -8.635, -2.072, -5.710, -4.380
Values for spin magnetization, μB/f.u., ordered as above
0.0, 1.0, 0.0, 0.0, 0.6, 0.0